Record 1
Material: TlSn4Pb2
Method: DFT, GGA-PBE
State: relaxed

The space group is P2/m (No. 10) and the conventional cell measures 4.128, 3.464 and 14.831 Å, with angles of 90.00, 97.64 and 90.00 degrees. The asymmetric unit holds Tl at (0.000, 0.000, 0.000), Sn at (0.136, 0.000, 0.273), Sn at (0.422, 0.500, 0.849) and Pb at (0.299, 0.500, 0.593).

The formation energy from the elements is 54 meV per atom. As for the energy above the most stable polymorph in this dataset: 0.000 eV/atom.

---

Record 2
Material: CaTiBi3
Method: DFT, GGA-PBE
State: relaxed

The space group is Pbcm (No. 57) and the conventional cell measures 13.754, 6.584 and 6.391 Å, with angles of 90.00, 90.00 and 90.00 degrees. The asymmetric unit holds Ca at (0.189, 0.015, 0.250), Ti at (0.406, 0.750, 0.000), Bi at (0.006, 0.750, 0.000), Bi at (0.274, 0.508, 0.250) and Bi at (0.431, 0.113, 0.250).

The formation energy from the elements is -367 meV per atom. As for the energy above the most stable polymorph in this dataset: 0.000 eV/atom.

---

Record 3
Material: CrMo2Pb
Method: DFT, GGA-PBE
State: relaxed

The space group is Pm (No. 6) and the conventional cell measures 3.094, 3.918 and 5.846 Å, with angles of 90.00, 90.06 and 90.00 degrees. The asymmetric unit holds Cr at (0.000, 0.000, 0.000), Mo at (0.006, 0.000, 0.621), Mo at (0.504, 0.500, 0.821) and Pb at (0.504, 0.500, 0.309).

The formation energy from the elements is 525 meV per atom.